P.
Density functional theory data (GGA-PBE) for a relaxed Si3IrRh crystal.

Cell lengths 4.5713, 4.5713, 4.5713 Å; angles 90.00, 90.00, 90.00 degrees
Last column: nearest neighbours and their distance in Å.
Space group Pm-3m (No. 221)
Unique sites:
1 Si 0.0000 0.0000 0.5000 (multiplicity 3)  2 Ir 2.29
2 Ir 0.0000 0.0000 0.0000 (multiplicity 1)  6 Si 2.29
3 Rh 0.5000 0.5000 0.5000 (multiplicity 1)  12 Si 3.23

**Mass density**: 6.6 g/cm³

Q.
Density functional theory data (GGA-PBE) for a relaxed Si3IrRh crystal.

Cell lengths 5.3456, 3.6723, 7.8102 Å; angles 90.00, 91.68, 90.00 degrees
Last column: nearest neighbours and their distance in Å.
Space group P2_1/m (No. 11)
Unique sites:
1 Si 0.0294 0.2500 0.3734 (multiplicity 2)  1 Si 2.32, 3 Ir 2.40-2.55
2 Si 0.1981 0.2500 0.9735 (multiplicity 2)  1 Ir 2.43, 3 Rh 2.44-2.53
3 Si 0.4629 0.2500 0.3647 (multiplicity 2)  1 Si 2.32, 2 Ir 2.39
4 Ir 0.2560 0.2500 0.6658 (multiplicity 2)  7 Si 2.39-2.63
5 Rh 0.2266 0.7500 0.1790 (multiplicity 2)  7 Si 2.44-2.64

**Mass density**: 8.2 g/cm³

Decreasing stability: Q, P

P.
Density functional theory data (GGA-PBE) for a relaxed SiIrRh3 crystal.

Cell lengths 4.7099, 4.7099, 4.7099 Å; angles 90.00, 90.00, 90.00 degrees
Last column: nearest neighbours and their distance in Å.
Space group Pm-3m (No. 221)
Unique sites:
1 Si 0.0000 0.0000 0.0000 (multiplicity 1)  12 Rh 3.33
2 Ir 0.5000 0.5000 0.5000 (multiplicity 1)  6 Rh 2.35
3 Rh 0.0000 0.5000 0.5000 (multiplicity 3)  2 Ir 2.35

**Mass density**: 8.4 g/cm³

Q.
Density functional theory data (GGA-PBE) for a relaxed SiIrRh3 crystal.

Cell lengths 4.3349, 4.3349, 4.3349 Å; angles 90.00, 90.00, 90.00 degrees
Last column: nearest neighbours and their distance in Å.
Space group Pm-3m (No. 221)
Unique sites:
1 Si 0.0000 0.0000 0.0000 (multiplicity 1)  6 Rh 2.17
2 Ir 0.5000 0.5000 0.5000 (multiplicity 1)  12 Rh 3.07
3 Rh 0.0000 0.0000 0.5000 (multiplicity 3)  2 Si 2.17

**Mass density**: 10.8 g/cm³

Decreasing stability: Q, P